This record from Alexandria via LeMat-Bulk describes Cs3SnAu3 after structural relaxation. The functional is PBE.

As for the density of states at the Fermi level: 4.0 states/eV/f.u. The electronic total energy comes out at -2.47 eV/atom. As for the magnetization: 0.00 Bohr magnetons per cell. The value obtained for the formation energy is -0.125 eV per atom. Its symmetry is No. 63. Its volume is 54.99 Å³ per atom.

Cell: 7.3344 11.0110 11.0107 Å, 120.02 90.00 90.00°
Last column: nearest neighbours and their distance in Å.
Atoms (fractional coordinates):
Cs (0.2500, 0.6225, 0.8108)  4 Au 3.62-3.67
Cs (0.2500, 0.1886, 0.3775)  4 Au 3.62-3.67
Cs (0.2500, 0.1886, 0.8120)  4 Au 3.62-3.67
Cs (0.7500, 0.3775, 0.1892)  4 Au 3.62-3.67
Cs (0.7500, 0.8114, 0.6225)  4 Au 3.62-3.67
Cs (0.7500, 0.8114, 0.1880)  4 Au 3.62-3.67
Sn (0.7500, 0.3327, 0.6672)  3 Au 2.71-2.72
Sn (0.2500, 0.6673, 0.3328)  3 Au 2.71-2.72
Au (0.7500, 0.6174, 0.8082)  1 Sn 2.71
Au (0.7500, 0.1911, 0.3825)  1 Sn 2.71
Au (0.7500, 0.1907, 0.8099)  1 Sn 2.72
Au (0.2500, 0.3826, 0.1918)  1 Sn 2.71
Au (0.2500, 0.8089, 0.6175)  1 Sn 2.71
Au (0.2500, 0.8093, 0.1901)  1 Sn 2.72

This record from Alexandria via LeMat-Bulk describes MnCrTe2 after structural relaxation. The functional is PBE.

Its formation energy from raw total energies is 0.0 eV/f.u. As for the density of states at the Fermi level: 1.6 states/eV/f.u. The electronic total energy comes out at -6.27 eV/atom. As for the magnetization: 6.11 Bohr magnetons per cell. Its symmetry is No. 99. Its volume is 23.14 Å³ per atom.

Cell: 3.5407 3.5407 7.3836 Å, 90.00 90.00 90.00°
Last column: nearest neighbours and their distance in Å.
Atoms (fractional coordinates):
Cr (0.0000, 0.0000, 0.5192)  5 Te 2.69-2.75, 4 Mn 2.95
Mn (0.5000, 0.5000, 0.7316)  5 Te 2.70-2.74, 4 Cr 2.95
Te (0.0000, 0.0000, 0.8837)  1 Cr 2.69, 4 Mn 2.74
Te (0.5000, 0.5000, 0.3655)  1 Mn 2.70, 4 Cr 2.75

This record from Alexandria via LeMat-Bulk describes ZnTe2As after structural relaxation. The functional is PBE.

The energy above the most stable polymorph in this dataset comes out at 291 meV/atom. Its formation energy from raw total energies is 0.9 eV/f.u. As for the density of states at the Fermi level: 1.3 states/eV/f.u. The electronic total energy comes out at -2.82 eV/atom. As for the magnetization: 0.00 Bohr magnetons per cell. Its symmetry is No. 35. Its volume is 24.90 Å³ per atom.

Cell: 3.3567 3.3567 9.3452 Å, 90.00 90.00 108.95°
Last column: nearest neighbours and their distance in Å.
Atoms (fractional coordinates):
As (0.5000, 0.5000, 0.7108)  2 Zn 2.61
Te (0.0000, 0.0000, 0.9510)  2 As 2.97
Te (0.5000, 0.5000, 0.3132)  2 Zn 2.78
Zn (0.0000, 0.0000, 0.5250)  2 As 2.61, 2 Te 2.78

This record from Alexandria via LeMat-Bulk describes Ti2NbBr after structural relaxation. The functional is PBE.

The energy above the most stable polymorph in this dataset comes out at 0 meV/atom. Its formation energy from raw total energies is 1.7 eV/f.u. As for the density of states at the Fermi level: 1.0 states/eV/f.u. The electronic total energy comes out at -6.46 eV/atom. As for the magnetization: 0.00 Bohr magnetons per cell. Its symmetry is No. 225. Its volume is 17.65 Å³ per atom.

Cell: 4.6394 4.6394 4.6394 Å, 60.00 60.00 60.00°
Last column: nearest neighbours and their distance in Å.
Atoms (fractional coordinates):
Nb (0.5000, 0.5000, 0.5000)  8 Ti 2.84
Br (0.0000, 0.0000, 0.0000)  8 Ti 2.84
Ti (0.2500, 0.2500, 0.2500)  4 Nb 2.84, 4 Br 2.84
Ti (0.7500, 0.7500, 0.7500)  4 Br 2.84, 4 Nb 2.84

This record from Alexandria via LeMat-Bulk describes MgMoH after structural relaxation. The functional is PBE.

The energy above the most stable polymorph in this dataset comes out at 43 meV/atom. As for the density of states at the Fermi level: 1.3 states/eV/f.u. The electronic total energy comes out at -5.15 eV/atom. As for the magnetization: 0.00 Bohr magnetons per cell. Its symmetry is No. 156. Its volume is 12.31 Å³ per atom.

Cell: 2.9874 2.9874 4.7792 Å, 90.00 90.00 120.00°
Last column: nearest neighbours and their distance in Å.
Atoms (fractional coordinates):
Mg (0.0000, 0.0000, 0.7054)  3 H 2.37
Mo (0.6667, 0.3333, 0.1915)  3 H 1.91
H (0.3333, 0.6667, 0.3644)  3 Mo 1.91

This record from Alexandria via LeMat-Bulk describes BaIn4Pt2Rh after structural relaxation. The functional is PBE.

As for the density of states at the Fermi level: 5.0 states/eV/f.u. The electronic total energy comes out at -4.54 eV/atom. As for the magnetization: 0.00 Bohr magnetons per cell. The value obtained for the formation energy is -0.498 eV per atom. Its symmetry is No. 166. Its volume is 23.48 Å³ per atom.

Cell: 4.5926 4.5926 10.6200 Å, 77.51 77.51 60.00°
Last column: nearest neighbours and their distance in Å.
Atoms (fractional coordinates):
Ba (0.0000, 0.0000, 0.0000)  6 In 3.51
In (0.4079, 0.4079, 0.7764)  3 Pt 2.81, 1 Rh 2.84
In (0.8648, 0.8648, 0.4055)  4 Pt 2.81-2.87, 3 Rh 2.82
In (0.1352, 0.1352, 0.5945)  4 Pt 2.81-2.87, 3 Rh 2.82
In (0.5921, 0.5921, 0.2236)  3 Pt 2.81, 1 Rh 2.84
Pt (0.7716, 0.7716, 0.6851)  7 In 2.81-2.87
Pt (0.2284, 0.2284, 0.3149)  7 In 2.81-2.87
Rh (0.5000, 0.5000, 0.5000)  8 In 2.82-2.84

This record from Alexandria via LeMat-Bulk describes TbU2F11 after structural relaxation. The functional is PBE.

Its formation energy from raw total energies is -52.6 eV/f.u. As for the density of states at the Fermi level: 5.8 states/eV/f.u. The electronic total energy comes out at -7.17 eV/atom. As for the magnetization: 8.00 Bohr magnetons per cell. Its symmetry is No. 72. Its volume is 17.38 Å³ per atom.

Cell: 8.4539 8.6895 8.6895 Å, 73.83 60.89 60.89°
Last column: nearest neighbours and their distance in Å.
Atoms (fractional coordinates):
Tb (0.7500, 0.7500, 0.7500)  8 F 2.31-2.33
Tb (0.2500, 0.2500, 0.2500)  8 F 2.31-2.33
U (0.6507, 0.6827, 0.3173)  7 F 2.18-2.36
U (0.3493, 0.3173, 0.6827)  7 F 2.18-2.36
U (0.8493, 0.1827, 0.8173)  7 F 2.18-2.36
U (0.1507, 0.8173, 0.1827)  7 F 2.18-2.36
F (0.6465, 0.7093, 0.5660)  1 U 2.22, 1 Tb 2.33
F (0.3535, 0.2907, 0.4340)  1 U 2.22, 1 Tb 2.33
F (0.0781, 0.5660, 0.7093)  1 U 2.22, 1 Tb 2.33
F (0.8535, 0.9340, 0.7907)  1 U 2.22, 1 Tb 2.33
F (0.9219, 0.4340, 0.2907)  1 U 2.22, 1 Tb 2.33
F (0.1465, 0.0660, 0.2093)  1 U 2.22, 1 Tb 2.33
F (0.4219, 0.7907, 0.9340)  1 U 2.22, 1 Tb 2.33
F (0.5781, 0.2093, 0.0660)  1 U 2.22, 1 Tb 2.33
F (0.5000, 0.5000, 0.5000)  2 U 2.29, 2 F 2.46
F (0.0000, 0.0000, 0.0000)  2 U 2.29, 2 F 2.46
F (0.8734, 0.7873, 0.2127)  2 U 2.18-2.36
F (0.1266, 0.2127, 0.7873)  2 U 2.18-2.36
F (0.6266, 0.2873, 0.7127)  2 U 2.18-2.36
F (0.3734, 0.7127, 0.2873)  2 U 2.18-2.36
F (0.4504, 0.9676, 0.3149)  1 U 2.22, 1 Tb 2.31
F (0.5496, 0.0324, 0.6851)  1 U 2.22, 1 Tb 2.31
F (0.2670, 0.3149, 0.9676)  1 U 2.22, 1 Tb 2.31
F (0.0496, 0.1851, 0.5324)  1 U 2.22, 1 Tb 2.31
F (0.7330, 0.6851, 0.0324)  1 U 2.22, 1 Tb 2.31
F (0.9504, 0.8149, 0.4676)  1 U 2.22, 1 Tb 2.31
F (0.2330, 0.5324, 0.1851)  1 U 2.22, 1 Tb 2.31
F (0.7670, 0.4676, 0.8149)  1 U 2.22, 1 Tb 2.31

This record from Alexandria via LeMat-Bulk describes SnTe2Pb after structural relaxation. The functional is PBE.

Its formation energy from raw total energies is -1.4 eV/f.u. The electronic total energy comes out at -3.84 eV/atom. As for the magnetization: 0.00 Bohr magnetons per cell. Its symmetry is No. 123. Its volume is 34.02 Å³ per atom.

Cell: 4.5820 4.5820 6.4808 Å, 90.00 90.00 90.00°
Last column: nearest neighbours and their distance in Å.
Atoms (fractional coordinates):
Pb (0.0000, 0.0000, 0.0000)  6 Te 3.24
Te (0.0000, 0.0000, 0.5000)  4 Sn 3.24, 2 Pb 3.24
Te (0.5000, 0.5000, 0.0000)  4 Pb 3.24, 2 Sn 3.24
Sn (0.5000, 0.5000, 0.5000)  6 Te 3.24

This record from Alexandria via LeMat-Bulk describes Pm6Bi3SbTe2 after structural relaxation. The functional is PBE.

Its formation energy from raw total energies is -13.9 eV/f.u. As for the density of states at the Fermi level: 4.4 states/eV/f.u. The electronic total energy comes out at -5.37 eV/atom. As for the magnetization: 0.00 Bohr magnetons per cell. Its symmetry is No. 12. Its volume is 32.89 Å³ per atom.

Cell: 4.5358 9.0499 10.1326 Å, 102.86 102.93 90.00°
Last column: nearest neighbours and their distance in Å.
Atoms (fractional coordinates):
Pm (0.3361, 0.9200, 0.6722)  1 Sb 3.15, 3 Bi 3.20-3.23, 2 Te 3.22
Pm (0.6651, 0.5845, 0.3302)  3 Bi 3.17-3.19, 3 Te 3.21-3.23
Pm (0.6639, 0.0800, 0.3278)  1 Sb 3.15, 3 Bi 3.20-3.23, 2 Te 3.22
Pm (0.9994, 0.2443, 0.9988)  2 Sb 3.17, 3 Bi 3.22-3.24, 1 Te 3.23
Pm (0.0006, 0.7557, 0.0012)  2 Sb 3.17, 3 Bi 3.22-3.24, 1 Te 3.23
Pm (0.3349, 0.4155, 0.6698)  3 Bi 3.17-3.19, 3 Te 3.21-3.23
Bi (0.5000, 0.5000, 0.0000)  6 Pm 3.17-3.24
Bi (0.8320, 0.1668, 0.6639)  6 Pm 3.19-3.23
Bi (0.1680, 0.8332, 0.3361)  6 Pm 3.19-3.23
Sb (0.5000, 0.0000, 0.0000)  6 Pm 3.15-3.17
Te (0.8329, 0.6658, 0.6657)  6 Pm 3.21-3.23
Te (0.1671, 0.3342, 0.3343)  6 Pm 3.21-3.23

This record from Alexandria via LeMat-Bulk describes HfGaAg2B after structural relaxation. The functional is PBE.

As for the density of states at the Fermi level: 4.0 states/eV/f.u. The electronic total energy comes out at -3.80 eV/atom. As for the magnetization: 0.00 Bohr magnetons per cell. The value obtained for the formation energy is 1.274 eV per atom. Its symmetry is No. 123. Its volume is 25.60 Å³ per atom.

Cell: 5.4302 4.3414 5.4302 Å, 90.00 90.00 90.00°
Last column: nearest neighbours and their distance in Å.
Atoms (fractional coordinates):
B (0.0000, 0.5000, 0.0000)  2 Hf 2.17
Hf (0.0000, 0.0000, 0.0000)  2 B 2.17
Ga (0.5000, 0.5000, 0.5000)  8 Ag 3.48, 4 B 3.84
Ag (0.0000, 0.0000, 0.5000)  2 Hf 2.72
Ag (0.5000, 0.0000, 0.0000)  2 Hf 2.72

This record from Alexandria via LeMat-Bulk describes BeAg2Hg after structural relaxation. The functional is PBE.

The energy above the most stable polymorph in this dataset comes out at 59 meV/atom. As for the density of states at the Fermi level: 1.3 states/eV/f.u. The electronic total energy comes out at -2.22 eV/atom. As for the magnetization: 0.00 Bohr magnetons per cell. The value obtained for the formation energy is 0.211 eV per atom. Its symmetry is No. 166. Its volume is 16.99 Å³ per atom.

Cell: 8.9717 8.9717 8.9717 Å, 19.16 19.16 19.16°
Last column: nearest neighbours and their distance in Å.
Atoms (fractional coordinates):
Be (0.2500, 0.2500, 0.2500)  6 Ag 2.49
Hg (0.7500, 0.7500, 0.7500)  6 Hg 2.99, 6 Ag 3.12
Ag (0.9848, 0.9848, 0.9848)  3 Be 2.49
Ag (0.5152, 0.5152, 0.5152)  3 Be 2.49

This record from Alexandria via LeMat-Bulk describes TaTeP2 after structural relaxation. The functional is PBE.

Its formation energy from raw total energies is -0.9 eV/f.u. As for the density of states at the Fermi level: 2.3 states/eV/f.u. The electronic total energy comes out at -6.68 eV/atom. As for the magnetization: 0.00 Bohr magnetons per cell. Its symmetry is No. 6. Its volume is 22.27 Å³ per atom.

Cell: 3.4915 3.4920 7.3074 Å, 89.49 90.00 90.00°
Last column: nearest neighbours and their distance in Å.
Atoms (fractional coordinates):
P (0.0000, 0.8787, 0.1912)  4 P 2.47, 2 Ta 2.60
P (0.5000, 0.3782, 0.1911)  4 P 2.47, 2 Ta 2.60
Ta (0.0000, 0.3736, 0.4554)  4 P 2.60, 4 Te 2.90
Te (0.5000, 0.8696, 0.6623)  4 Ta 2.90

Question: Among the records above, which one has the lowest electronic total energy?
Answer: TbU2F11

Repeat the seventh record exactly.
This record from Alexandria via LeMat-Bulk describes TbU2F11 after structural relaxation. The functional is PBE.

Its formation energy from raw total energies is -52.6 eV/f.u. As for the density of states at the Fermi level: 5.8 states/eV/f.u. The electronic total energy comes out at -7.17 eV/atom. As for the magnetization: 8.00 Bohr magnetons per cell. Its symmetry is No. 72. Its volume is 17.38 Å³ per atom.

Cell: 8.4539 8.6895 8.6895 Å, 73.83 60.89 60.89°
Last column: nearest neighbours and their distance in Å.
Atoms (fractional coordinates):
Tb (0.7500, 0.7500, 0.7500)  8 F 2.31-2.33
Tb (0.2500, 0.2500, 0.2500)  8 F 2.31-2.33
U (0.6507, 0.6827, 0.3173)  7 F 2.18-2.36
U (0.3493, 0.3173, 0.6827)  7 F 2.18-2.36
U (0.8493, 0.1827, 0.8173)  7 F 2.18-2.36
U (0.1507, 0.8173, 0.1827)  7 F 2.18-2.36
F (0.6465, 0.7093, 0.5660)  1 U 2.22, 1 Tb 2.33
F (0.3535, 0.2907, 0.4340)  1 U 2.22, 1 Tb 2.33
F (0.0781, 0.5660, 0.7093)  1 U 2.22, 1 Tb 2.33
F (0.8535, 0.9340, 0.7907)  1 U 2.22, 1 Tb 2.33
F (0.9219, 0.4340, 0.2907)  1 U 2.22, 1 Tb 2.33
F (0.1465, 0.0660, 0.2093)  1 U 2.22, 1 Tb 2.33
F (0.4219, 0.7907, 0.9340)  1 U 2.22, 1 Tb 2.33
F (0.5781, 0.2093, 0.0660)  1 U 2.22, 1 Tb 2.33
F (0.5000, 0.5000, 0.5000)  2 U 2.29, 2 F 2.46
F (0.0000, 0.0000, 0.0000)  2 U 2.29, 2 F 2.46
F (0.8734, 0.7873, 0.2127)  2 U 2.18-2.36
F (0.1266, 0.2127, 0.7873)  2 U 2.18-2.36
F (0.6266, 0.2873, 0.7127)  2 U 2.18-2.36
F (0.3734, 0.7127, 0.2873)  2 U 2.18-2.36
F (0.4504, 0.9676, 0.3149)  1 U 2.22, 1 Tb 2.31
F (0.5496, 0.0324, 0.6851)  1 U 2.22, 1 Tb 2.31
F (0.2670, 0.3149, 0.9676)  1 U 2.22, 1 Tb 2.31
F (0.0496, 0.1851, 0.5324)  1 U 2.22, 1 Tb 2.31
F (0.7330, 0.6851, 0.0324)  1 U 2.22, 1 Tb 2.31
F (0.9504, 0.8149, 0.4676)  1 U 2.22, 1 Tb 2.31
F (0.2330, 0.5324, 0.1851)  1 U 2.22, 1 Tb 2.31
F (0.7670, 0.4676, 0.8149)  1 U 2.22, 1 Tb 2.31

What did the twelfth record say?
This record from Alexandria via LeMat-Bulk describes TaTeP2 after structural relaxation. The functional is PBE.

Its formation energy from raw total energies is -0.9 eV/f.u. As for the density of states at the Fermi level: 2.3 states/eV/f.u. The electronic total energy comes out at -6.68 eV/atom. As for the magnetization: 0.00 Bohr magnetons per cell. Its symmetry is No. 6. Its volume is 22.27 Å³ per atom.

Cell: 3.4915 3.4920 7.3074 Å, 89.49 90.00 90.00°
Last column: nearest neighbours and their distance in Å.
Atoms (fractional coordinates):
P (0.0000, 0.8787, 0.1912)  4 P 2.47, 2 Ta 2.60
P (0.5000, 0.3782, 0.1911)  4 P 2.47, 2 Ta 2.60
Ta (0.0000, 0.3736, 0.4554)  4 P 2.60, 4 Te 2.90
Te (0.5000, 0.8696, 0.6623)  4 Ta 2.90